Entry 1:
! Nd2B2Rh3 | Alexandria | PBE-GGA | optimized geometry; values from VASP
! DFT total energy in eV/atom: -6.86
! Space group: C2/m, No. 12
&SYSTEM
  ibrav = 0, nat = 7, ntyp = 3
/
ATOMIC_SPECIES
Nd 144.24 Nd.upf
B 10.81 B.upf
Rh 102.91 Rh.upf
CELL_PARAMETERS angstrom
5.0436 -1.7944 0.0000
5.0436 1.7944 0.0000
-2.6785 0.0000 6.3527
ATOMIC_POSITIONS crystal
Nd 0.1299 0.1299 0.2826
Nd 0.8701 0.8701 0.7174
B 0.1545 0.1545 0.7744
B 0.8455 0.8455 0.2256
Rh 0.3629 0.3629 0.0675
Rh 0.5000 0.5000 0.5000
Rh 0.6371 0.6371 0.9325

Entry 2:
! NdSi2Ru | Alexandria | PBE-GGA | optimized geometry; values from VASP
! DFT total energy in eV/atom: -7.02
! Space group: Pnma, No. 62
&SYSTEM
  ibrav = 0, nat = 16, ntyp = 3
/
ATOMIC_SPECIES
Nd 144.24 Nd.upf
Si 28.09 Si.upf
Ru 101.07 Ru.upf
CELL_PARAMETERS angstrom
7.1419 0.0000 0.0000
0.0000 4.0784 0.0000
0.0000 0.0000 10.1589
ATOMIC_POSITIONS crystal
Nd 0.1502 0.2500 0.1240
Nd 0.3498 0.7500 0.6240
Nd 0.6502 0.2500 0.3760
Nd 0.8498 0.7500 0.8760
Si 0.1562 0.2500 0.8146
Si 0.1867 0.2500 0.4230
Si 0.3133 0.7500 0.9230
Si 0.3438 0.7500 0.3146
Si 0.6562 0.2500 0.6854
Si 0.6867 0.2500 0.0770
Si 0.8133 0.7500 0.5770
Si 0.8438 0.7500 0.1854
Ru 0.0128 0.7500 0.3888
Ru 0.4872 0.2500 0.8888
Ru 0.5128 0.7500 0.1112
Ru 0.9872 0.2500 0.6112